(1)
## HfNb2As2 (PBE)

Data for a relaxed structure of HfNb2As2.

Cell: 6.811 6.811 6.811 Å, 146.80 146.80 47.65°
Element x y z (fractional)
As1 0.395 0.395 0.000
As2 0.605 0.605 0.000
Hf1 0.000 0.000 0.000
Nb1 0.750 0.250 0.500
Nb2 0.250 0.750 0.500

crystal system: tetragonal
distance to the lowest polymorph of the same formula: 0.000 eV/atom

=====

(2)
## Hf2NbAs2 (PBE)

Data for a relaxed structure of Hf2NbAs2.

Cell: 7.506 7.506 7.506 Å, 151.21 151.21 41.17°
Element x y z (fractional)
As1 0.750 0.250 0.500
As2 0.250 0.750 0.500
Hf1 0.397 0.397 0.000
Hf2 0.603 0.603 0.000
Nb1 0.000 0.000 0.000

crystal system: tetragonal
distance to the lowest polymorph of the same formula: 0.000 eV/atom

=====

(3)
## HfNb2As2 (PBE)

Data for a relaxed structure of HfNb2As2.

Cell: 4.847 4.847 5.437 Å, 116.47 116.47 90.00°
Element x y z (fractional)
As1 0.750 0.250 0.500
As2 0.250 0.750 0.500
Hf1 0.000 0.000 0.000
Nb1 0.640 0.640 0.280
Nb2 0.360 0.360 0.720

crystal system: tetragonal
distance to the lowest polymorph of the same formula: 0.159 eV/atom

=====

(4)
## HfNbNiAs (PBE)

Data for a relaxed structure of HfNbNiAs.

Cell: 4.510 4.510 4.510 Å, 60.00 60.00 60.00°
Element x y z (fractional)
As1 0.000 0.000 0.000
Hf1 0.500 0.500 0.500
Nb1 0.250 0.250 0.250
Ni1 0.750 0.750 0.750

crystal system: cubic
distance to the lowest polymorph of the same formula: 0.000 eV/atom

=====

(5)
## HfNbAsO (PBE)

Data for a relaxed structure of HfNbAsO.

Cell: 3.788 3.788 8.539 Å, 90.00 90.00 90.00°
Element x y z (fractional)
As1 0.750 0.750 0.276
As2 0.250 0.250 0.724
Hf1 0.250 0.250 0.139
Hf2 0.750 0.750 0.861
Nb1 0.750 0.250 0.500
Nb2 0.250 0.750 0.500
O1 0.750 0.250 0.000
O2 0.250 0.750 0.000

crystal system: tetragonal
distance to the lowest polymorph of the same formula: 0.000 eV/atom

=====

(6)
## HfNbAsO (PBE)

Data for a relaxed structure of HfNbAsO.

Cell: 3.473 5.935 6.393 Å, 90.00 90.00 90.00°
Element x y z (fractional)
As1 0.000 0.671 0.301
As2 0.000 0.329 0.801
Hf1 0.000 0.090 0.426
Hf2 0.000 0.910 0.926
Nb1 0.500 0.392 0.105
Nb2 0.500 0.608 0.605
O1 0.500 0.270 0.422
O2 0.500 0.730 0.922

crystal system: orthorhombic
distance to the lowest polymorph of the same formula: 0.087 eV/atom

=====

Uncorrected energy (eV per atom)
-8.1214, -7.8764, -7.9624, -7.4800, -8.9129, -8.8259